Entry 1:
Density functional theory data (PBE-GGA) for a relaxed BaNbHg2Ge crystal.

a = 5.4708 Å, b = 5.4708 Å, c = 5.0835 Å
α = 90.00°, β = 90.00°, γ = 90.00°
Positions (direct):
Ba (0.0000, 0.0000, 0.0000)
Nb (0.5000, 0.5000, 0.5000)
Hg (0.0000, 0.5000, 0.5000)
Hg (0.5000, 0.0000, 0.5000)
Ge (0.5000, 0.5000, 0.0000)

* E_form: -0.083 eV per atom

Entry 2:
Density functional theory data (PBE-GGA) for a relaxed CaTcW2 crystal.

a = 2.8090 Å, b = 2.8090 Å, c = 9.5430 Å
α = 90.00°, β = 90.00°, γ = 109.28°
Positions (direct):
Ca (0.0000, 0.0000, 0.0000)
Tc (0.5000, 0.5000, 0.7309)
W (0.0000, 0.0000, 0.5116)
W (0.5000, 0.5000, 0.2835)

* E_form: 0.494 eV per atom
* energy above the lowest structure with this stoichiometry: 0.00 eV/f.u.

Entry 3:
Density functional theory data (PBE-GGA) for a relaxed Na2Al2Cd crystal.

a = 9.4230 Å, b = 9.4230 Å, c = 2.8498 Å
α = 90.00°, β = 90.00°, γ = 90.00°
Positions (direct):
Na (0.1936, 0.3064, 0.0000)
Na (0.3064, 0.8064, 0.0000)
Na (0.6936, 0.1936, 0.0000)
Na (0.8064, 0.6936, 0.0000)
Al (0.0994, 0.5994, 0.5000)
Al (0.4006, 0.0994, 0.5000)
Al (0.5994, 0.9006, 0.5000)
Al (0.9006, 0.4006, 0.5000)
Cd (0.0000, 0.0000, 0.0000)
Cd (0.5000, 0.5000, 0.0000)

* E_form: 0.242 eV per atom
* energy above the lowest structure with this stoichiometry: 0.59 eV/f.u.